This record from Alexandria via LeMat-Bulk describes an optimized crystal structure of CoSb2Rh. The functional is GGA-PBE.

Computed properties:
As for the magnetic moment: 5.220 Bohr magnetons per cell. The value obtained for the energy relative to the elements, uncorrected is 0.0828 eV per atom. Its volume is 280.73 Å³ per cell. As for the total DFT energy (no corrections): -5.593 eV per atom. Its crystal system is cubic. The energy above the lowest structure with this stoichiometry is 20.7 kJ/mol of atoms.

Structure (CIF):
```
data_CoSb2Rh
_cell_length_a 6.548
_cell_length_b 6.548
_cell_length_c 6.548
_cell_angle_alpha 90.00
_cell_angle_beta 90.00
_cell_angle_gamma 90.00
_symmetry_space_group_name_H-M 'F m -3 m'
_symmetry_Int_Tables_number 225
_symmetry_space_group_name_Hall '-F 4 2 3'
loop_
_atom_site_label
_atom_site_fract_x
_atom_site_fract_y
_atom_site_fract_z
Co1 0.000 0.000 0.000
Sb1 0.250 0.250 0.250
Rh1 0.000 0.000 0.500
```



This record from Alexandria via LeMat-Bulk describes an optimized crystal structure of CaAl2. The functional is GGA-PBE.

Computed properties:
As for the magnetic moment: 0.000 Bohr magnetons per cell. Its volume is 74.59 Å³ per cell. As for the total DFT energy (no corrections): -3.078 eV per atom. Its crystal system is trigonal. The energy of formation is 25 kJ/mol of formula units.

Structure (CIF):
```
data_CaAl2
_cell_length_a 3.5478
_cell_length_b 3.5478
_cell_length_c 6.8428
_cell_angle_alpha 90.00
_cell_angle_beta 90.00
_cell_angle_gamma 120.00
_symmetry_space_group_name_H-M 'P -3 m 1'
_symmetry_Int_Tables_number 164
_symmetry_space_group_name_Hall '-P 3 2"'
loop_
_atom_site_label
_atom_site_fract_x
_atom_site_fract_y
_atom_site_fract_z
Ca1 0.0000 0.0000 0.0000
Al1 0.3333 0.6667 0.3656
```



This record from Alexandria via LeMat-Bulk describes an optimized crystal structure of Th2NpZnN5. The functional is GGA-PBE.

Computed properties:
As for the magnetic moment: 7.537 Bohr magnetons per cell. The value obtained for the energy relative to the elements, uncorrected is -1.1004 eV per atom. Its volume is 507.39 Å³ per cell. As for the total DFT energy (no corrections): -8.954 eV per atom. Its crystal system is orthorhombic.

Structure (CIF):
```
data_Th2NpZnN5
_cell_length_a 3.492
_cell_length_b 13.855
_cell_length_c 10.486
_cell_angle_alpha 90.00
_cell_angle_beta 90.00
_cell_angle_gamma 90.00
_symmetry_space_group_name_H-M 'C m c 21'
_symmetry_Int_Tables_number 36
loop_
_symmetry_equiv_pos_as_xyz
'x,y,z'
'-x,-y,z+1/2'
'-x,y,z'
'x,-y,z+1/2'
'x+1/2,y+1/2,z'
'-x+1/2,-y+1/2,z+1/2'
'-x+1/2,y+1/2,z'
'x+1/2,-y+1/2,z+1/2'
loop_
_atom_site_label
_atom_site_fract_x
_atom_site_fract_y
_atom_site_fract_z
Th1 0.000 0.111 0.000
Th2 0.000 0.131 0.608
Np1 0.000 0.202 0.317
Zn1 0.000 0.482 0.778
N1 0.000 0.052 0.362
N2 0.000 0.285 0.961
N3 0.000 0.303 0.675
N4 0.000 0.355 0.318
N5 0.000 0.494 0.086
```



This record from Alexandria via LeMat-Bulk describes an optimized crystal structure of TcRu2Pb. The functional is GGA-PBE.

Computed properties:
As for the magnetic moment: 0.000 Bohr magnetons per cell. Its volume is 65.93 Å³ per cell. As for the total DFT energy (no corrections): -7.632 eV per atom. Its crystal system is tetragonal. The energy of formation is 203 kJ/mol of formula units.

Structure (CIF):
```
data_TcRu2Pb
_cell_length_a 2.948
_cell_length_b 2.948
_cell_length_c 7.589
_cell_angle_alpha 90.00
_cell_angle_beta 90.00
_cell_angle_gamma 90.00
_symmetry_space_group_name_H-M 'P 4 m m'
_symmetry_Int_Tables_number 99
loop_
_symmetry_equiv_pos_as_xyz
'x,y,z'
'-y,x,z'
'-x,-y,z'
'y,-x,z'
'-x,y,z'
'y,x,z'
'x,-y,z'
'-y,-x,z'
loop_
_atom_site_label
_atom_site_fract_x
_atom_site_fract_y
_atom_site_fract_z
Tc1 0.000 0.000 0.000
Ru1 0.000 0.000 0.552
Ru2 0.500 0.500 0.784
Pb1 0.500 0.500 0.285
```



This record from Alexandria via LeMat-Bulk describes an optimized crystal structure of CaSi3Tc. The functional is GGA-PBE.

Computed properties:
As for the magnetic moment: 0.000 Bohr magnetons per cell. The value obtained for the energy relative to the elements, uncorrected is 0.0895 eV per atom. Its volume is 103.89 Å³ per cell. As for the total DFT energy (no corrections): -5.638 eV per atom. Its crystal system is cubic. The energy above the lowest structure with this stoichiometry is 0.0 kJ/mol of atoms.

Structure (CIF):
```
data_CaSi3Tc
_cell_length_a 4.701
_cell_length_b 4.701
_cell_length_c 4.701
_cell_angle_alpha 90.00
_cell_angle_beta 90.00
_cell_angle_gamma 90.00
_symmetry_space_group_name_H-M 'P m -3 m'
_symmetry_Int_Tables_number 221
_symmetry_space_group_name_Hall '-P 4 2 3'
loop_
_atom_site_label
_atom_site_fract_x
_atom_site_fract_y
_atom_site_fract_z
Ca1 0.000 0.000 0.000
Si1 0.000 0.500 0.500
Tc1 0.500 0.500 0.500
```



This record from Alexandria via LeMat-Bulk describes an optimized crystal structure of GaTeS2N. The functional is GGA-PBE.

Computed properties:
As for the magnetic moment: 0.000 Bohr magnetons per cell. The value obtained for the energy relative to the elements, uncorrected is 0.8273 eV per atom. Its volume is 104.80 Å³ per cell. As for the total DFT energy (no corrections): -3.722 eV per atom. Its crystal system is tetragonal. The energy above the lowest structure with this stoichiometry is 10.7 kJ/mol of atoms.

Structure (CIF):
```
data_GaTeS2N
_cell_length_a 5.136
_cell_length_b 5.136
_cell_length_c 3.973
_cell_angle_alpha 90.00
_cell_angle_beta 90.00
_cell_angle_gamma 90.00
_symmetry_space_group_name_H-M 'P 4/m m m'
_symmetry_Int_Tables_number 123
_symmetry_space_group_name_Hall '-P 4 2'
loop_
_atom_site_label
_atom_site_fract_x
_atom_site_fract_y
_atom_site_fract_z
Ga1 0.000 0.000 0.000
Te1 0.500 0.500 0.500
S1 0.000 0.500 0.500
N1 0.500 0.500 0.000
```



This record from Alexandria via LeMat-Bulk describes an optimized crystal structure of Sn4Os. The functional is GGA-PBE.

Computed properties:
As for the magnetic moment: 0.000 Bohr magnetons per cell. Its volume is 139.27 Å³ per cell. As for the total DFT energy (no corrections): -5.098 eV per atom. Its crystal system is cubic. The energy of formation is 169 kJ/mol of formula units.

Structure (CIF):
```
data_Sn4Os
_cell_length_a 5.183
_cell_length_b 5.183
_cell_length_c 5.183
_cell_angle_alpha 90.00
_cell_angle_beta 90.00
_cell_angle_gamma 90.00
_symmetry_space_group_name_H-M 'P m -3 m'
_symmetry_Int_Tables_number 221
_symmetry_space_group_name_Hall '-P 4 2 3'
loop_
_atom_site_label
_atom_site_fract_x
_atom_site_fract_y
_atom_site_fract_z
Sn1 0.000 0.000 0.000
Sn2 0.000 0.500 0.500
Os1 0.500 0.500 0.500
```



This record from Alexandria via LeMat-Bulk describes an optimized crystal structure of Mn2MoRh. The functional is GGA-PBE.

Computed properties:
As for the magnetic moment: 5.194 Bohr magnetons per cell. Its volume is 55.87 Å³ per cell. As for the total DFT energy (no corrections): -9.147 eV per atom. Its crystal system is tetragonal. The energy of formation is -6 kJ/mol of formula units.

Structure (CIF):
```
data_Mn2MoRh
_cell_length_a 3.080
_cell_length_b 3.080
_cell_length_c 5.888
_cell_angle_alpha 90.00
_cell_angle_beta 90.00
_cell_angle_gamma 90.00
_symmetry_space_group_name_H-M 'P 4/m m m'
_symmetry_Int_Tables_number 123
_symmetry_space_group_name_Hall '-P 4 2'
loop_
_atom_site_label
_atom_site_fract_x
_atom_site_fract_y
_atom_site_fract_z
Mn1 0.000 0.000 0.243
Mo1 0.500 0.500 0.000
Rh1 0.500 0.500 0.500
```



This record from Alexandria via LeMat-Bulk describes an optimized crystal structure of Y2Hf2Ge. The functional is GGA-PBE.

Computed properties:
As for the magnetic moment: 0.000 Bohr magnetons per cell. Its volume is 258.56 Å³ per cell. As for the total DFT energy (no corrections): -6.801 eV per atom. Its crystal system is tetragonal. The energy above the lowest structure with this stoichiometry is 74.8 kJ/mol of atoms. The energy of formation is 333 kJ/mol of formula units.

Structure (CIF):
```
data_Y2Hf2Ge
_cell_length_a 4.138
_cell_length_b 4.138
_cell_length_c 15.100
_cell_angle_alpha 90.00
_cell_angle_beta 90.00
_cell_angle_gamma 90.00
_symmetry_space_group_name_H-M 'I 4/m m m'
_symmetry_Int_Tables_number 139
_symmetry_space_group_name_Hall '-I 4 2'
loop_
_atom_site_label
_atom_site_fract_x
_atom_site_fract_y
_atom_site_fract_z
Y1 0.000 0.500 0.250
Hf1 0.000 0.000 0.084
Ge1 0.000 0.000 0.500
```



This record from Alexandria via LeMat-Bulk describes an optimized crystal structure of Tb8Hg4CS3. The functional is GGA-PBE.

Computed properties:
As for the magnetic moment: 0.000 Bohr magnetons per cell. The value obtained for the energy relative to the elements, uncorrected is -1.0281 eV per atom. Its volume is 1170.78 Å³ per cell. As for the total DFT energy (no corrections): -4.769 eV per atom. Its crystal system is trigonal.

Structure (CIF):
```
data_Tb8Hg4CS3
_cell_length_a 7.6732
_cell_length_b 7.6732
_cell_length_c 22.9612
_cell_angle_alpha 90.00
_cell_angle_beta 90.00
_cell_angle_gamma 120.00
_symmetry_space_group_name_H-M 'R -3 m'
_symmetry_Int_Tables_number 166
_symmetry_space_group_name_Hall '-R 3 2"'
loop_
_atom_site_label
_atom_site_fract_x
_atom_site_fract_y
_atom_site_fract_z
Tb1 0.0000 0.0000 0.2366
Tb2 0.0257 0.5128 0.2324
Hg1 0.0000 0.0000 0.0000
Hg2 0.0000 0.5000 0.0000
C1 0.0000 0.0000 0.5000
S1 0.0000 0.5000 0.5000
```